Record 1
Hf8MnPb2: relaxed, GGA-PBE.

Computed properties:
The calculation puts the volume at 483.8 Å³ per cell. The crystal system is monoclinic. For the formation energy, the calculation gives 10.73 kJ/mol of atoms. The value obtained for the electronic total energy is -8.636 eV/atom. As for the density of states at the Fermi level: 20.17 states/eV per cell.

Unit cell a=16.664 b=4.934 c=6.126 alpha=90.00 beta=106.17 gamma=90.00
Space group C2/m (No. 12)
Symmetry-distinct sites (fractional):
Hf (0.012, 0.000, 0.249) x4
Hf (0.093, 0.500, 0.759) x4
Hf (0.135, 0.500, 0.288) x4
Hf (0.216, 0.000, 0.112) x4
Mn (0.000, 0.500, 0.000) x2
Pb (0.174, 0.000, 0.607) x4

=====

Record 2
HfMnPb3: relaxed, GGA-PBE.

Computed properties:
The calculation puts the energy above the lowest structure with this stoichiometry at 53.6 meV/atom. The calculation puts the volume at 132.4 Å³ per cell. The crystal system is cubic. For the formation energy, the calculation gives 83.41 kJ/mol of atoms. The value obtained for the electronic total energy is -5.185 eV/atom. As for the density of states at the Fermi level: 9.34 states/eV per cell.

Unit cell a=5.097 b=5.097 c=5.097 alpha=90.00 beta=90.00 gamma=90.00
Space group Pm-3m (No. 221)
Symmetry-distinct sites (fractional):
Hf (0.000, 0.000, 0.000) x1
Mn (0.500, 0.500, 0.500) x1
Pb (0.000, 0.500, 0.500) x3

=====

Record 3
HfMnPb3: relaxed, GGA-PBE.

Computed properties:
The calculation puts the energy above the lowest structure with this stoichiometry at 0.0 meV/atom. The calculation puts the volume at 177.2 Å³ per cell. The crystal system is cubic. For the formation energy, the calculation gives 78.23 kJ/mol of atoms. The value obtained for the electronic total energy is -5.239 eV/atom. As for the density of states at the Fermi level: 1.85 states/eV per cell.

Unit cell a=5.616 b=5.616 c=5.616 alpha=90.00 beta=90.00 gamma=90.00
Space group Pm-3m (No. 221)
Symmetry-distinct sites (fractional):
Hf (0.000, 0.000, 0.000) x1
Mn (0.500, 0.500, 0.500) x1
Pb (0.000, 0.000, 0.500) x3

=====

Record 4
Hf3MnPb: relaxed, GGA-PBE.

Computed properties:
The calculation puts the energy above the lowest structure with this stoichiometry at 0.0 meV/atom. The calculation puts the volume at 112.7 Å³ per cell. The crystal system is cubic. For the formation energy, the calculation gives 26.76 kJ/mol of atoms. The value obtained for the electronic total energy is -8.270 eV/atom. As for the density of states at the Fermi level: 10.01 states/eV per cell.

Unit cell a=4.830 b=4.830 c=4.830 alpha=90.00 beta=90.00 gamma=90.00
Space group Pm-3m (No. 221)
Symmetry-distinct sites (fractional):
Hf (0.000, 0.000, 0.500) x3
Mn (0.000, 0.000, 0.000) x1
Pb (0.500, 0.500, 0.500) x1

=====

Record 5
Hf6Mn2Pb: relaxed, GGA-PBE.

Computed properties:
The calculation puts the volume at 732.4 Å³ per cell. The crystal system is orthorhombic. For the formation energy, the calculation gives -4.34 kJ/mol of atoms. The value obtained for the electronic total energy is -9.130 eV/atom. As for the density of states at the Fermi level: 25.99 states/eV per cell.

Unit cell a=8.724 b=8.876 c=9.460 alpha=90.00 beta=90.00 gamma=90.00
Space group Immm (No. 71)
Symmetry-distinct sites (fractional):
Hf (0.000, 0.221, 0.244) x8
Hf (0.189, 0.500, 0.178) x8
Hf (0.219, 0.304, 0.500) x8
Mn (0.000, 0.337, 0.000) x4
Mn (0.000, 0.500, 0.390) x4
Pb (0.000, 0.000, 0.000) x2
Pb (0.000, 0.000, 0.500) x2

=====

Record 6
Hf6MnPb2: relaxed, GGA-PBE.

Computed properties:
The calculation puts the volume at 455.9 Å³ per cell. The crystal system is tetragonal. For the formation energy, the calculation gives 40.08 kJ/mol of atoms. The value obtained for the electronic total energy is -8.063 eV/atom. As for the density of states at the Fermi level: 16.87 states/eV per cell.

Unit cell a=4.911 b=4.911 c=18.904 alpha=90.00 beta=90.00 gamma=90.00
Space group P4_2/mnm (No. 136)
Symmetry-distinct sites (fractional):
Hf (0.189, 0.189, 0.000) x4
Hf (0.229, 0.229, 0.389) x8
Mn (0.000, 0.000, 0.500) x2
Pb (0.000, 0.000, 0.245) x4

=====

Record 7
Hf3MnPb: relaxed, GGA-PBE.

Computed properties:
The calculation puts the energy above the lowest structure with this stoichiometry at 1769.6 meV/atom. The calculation puts the volume at 145.3 Å³ per cell. The crystal system is cubic. For the formation energy, the calculation gives 197.49 kJ/mol of atoms. The value obtained for the electronic total energy is -6.501 eV/atom. As for the density of states at the Fermi level: 11.69 states/eV per cell.

Unit cell a=5.257 b=5.257 c=5.257 alpha=90.00 beta=90.00 gamma=90.00
Space group Pm-3m (No. 221)
Symmetry-distinct sites (fractional):
Hf (0.000, 0.000, 0.500) x3
Mn (0.500, 0.500, 0.500) x1
Pb (0.000, 0.000, 0.000) x1

=====

Record 8
HfMnPb2S5: relaxed, GGA-PBE.

Computed properties:
The calculation puts the volume at 850.3 Å³ per cell. The crystal system is orthorhombic. The formation energy without anion corrections is -0.86 eV per atom. The value obtained for the electronic total energy is -6.105 eV/atom.

Unit cell a=3.843 b=17.125 c=12.921 alpha=90.00 beta=90.00 gamma=90.00
Space group Cmc2_1 (No. 36)
Symmetry-distinct sites (fractional):
Hf (0.000, 0.216, 0.000) x4
Mn (0.000, 0.432, 0.417) x4
Pb (0.000, 0.098, 0.626) x4
Pb (0.000, 0.119, 0.277) x4
S (0.000, 0.066, 0.028) x4
S (0.000, 0.272, 0.634) x4
S (0.000, 0.298, 0.368) x4
S (0.000, 0.362, 0.969) x4
S (0.000, 0.498, 0.258) x4

=====

Record 9
HfMnPbS2: relaxed, GGA-PBE.

Computed properties:
The calculation puts the volume at 140.3 Å³ per cell. The crystal system is tetragonal. The formation energy without anion corrections is 0.01 eV per atom. The value obtained for the electronic total energy is -6.203 eV/atom. As for the density of states at the Fermi level: 3.63 states/eV per cell.

Unit cell a=4.835 b=4.835 c=6.003 alpha=90.00 beta=90.00 gamma=90.00
Space group P4/mmm (No. 123)
Symmetry-distinct sites (fractional):
Hf (0.000, 0.000, 0.000) x1
Mn (0.500, 0.500, 0.500) x1
Pb (0.000, 0.000, 0.500) x1
S (0.000, 0.500, 0.000) x2

=====

Record 10
HfMnPbS4: relaxed, GGA-PBE.

Computed properties:
The calculation puts the volume at 665.0 Å³ per cell. The crystal system is orthorhombic. The formation energy without anion corrections is -0.89 eV per atom. The value obtained for the electronic total energy is -6.513 eV/atom. As for the density of states at the Fermi level: 0.32 states/eV per cell.

Unit cell a=7.670 b=8.903 c=9.739 alpha=90.00 beta=90.00 gamma=90.00
Space group Imma (No. 74)
Symmetry-distinct sites (fractional):
Hf (0.250, 0.250, 0.250) x4
Mn (0.000, 0.000, 0.000) x4
Pb (0.000, 0.250, 0.671) x4
S (0.000, 0.059, 0.254) x8
S (0.210, 0.250, 0.991) x8

=====

Record 11
HfMnSn2Pb: relaxed, GGA-PBE.

Computed properties:
The calculation puts the volume at 148.8 Å³ per cell. The crystal system is tetragonal. For the formation energy, the calculation gives 152.44 kJ/mol of atoms. The value obtained for the electronic total energy is -4.587 eV/atom. As for the density of states at the Fermi level: 5.61 states/eV per cell.

Unit cell a=5.570 b=5.570 c=4.796 alpha=90.00 beta=90.00 gamma=90.00
Space group P4/mmm (No. 123)
Symmetry-distinct sites (fractional):
Hf (0.000, 0.000, 0.000) x1
Mn (0.500, 0.500, 0.000) x1
Sn (0.000, 0.500, 0.500) x2
Pb (0.500, 0.500, 0.500) x1

=====

Record 12
Hf2TaMnPb: relaxed, GGA-PBE.

Computed properties:
The calculation puts the volume at 126.3 Å³ per cell. The crystal system is tetragonal. For the formation energy, the calculation gives 186.69 kJ/mol of atoms. The value obtained for the electronic total energy is -6.993 eV/atom. As for the density of states at the Fermi level: 8.36 states/eV per cell.

Unit cell a=5.236 b=5.236 c=4.606 alpha=90.00 beta=90.00 gamma=90.00
Space group P4/mmm (No. 123)
Symmetry-distinct sites (fractional):
Hf (0.000, 0.500, 0.000) x2
Ta (0.000, 0.000, 0.500) x1
Mn (0.500, 0.500, 0.500) x1
Pb (0.500, 0.500, 0.000) x1

=====

Record 13
HfMnTl2Pb: relaxed, GGA-PBE.

Computed properties:
The calculation puts the volume at 165.2 Å³ per cell. The crystal system is tetragonal. For the formation energy, the calculation gives 128.70 kJ/mol of atoms. The value obtained for the electronic total energy is -4.179 eV/atom. As for the density of states at the Fermi level: 5.86 states/eV per cell.

Unit cell a=5.695 b=5.695 c=5.093 alpha=90.00 beta=90.00 gamma=90.00
Space group P4/mmm (No. 123)
Symmetry-distinct sites (fractional):
Hf (0.000, 0.000, 0.000) x1
Mn (0.500, 0.500, 0.000) x1
Tl (0.000, 0.500, 0.500) x2
Pb (0.500, 0.500, 0.500) x1

=====

Record 14
HfMnPd4: relaxed, GGA-PBE.

Computed properties:
The calculation puts the volume at 192.0 Å³ per cell. The crystal system is monoclinic. For the formation energy, the calculation gives -49.48 kJ/mol of atoms. The value obtained for the electronic total energy is -7.162 eV/atom. As for the density of states at the Fermi level: 7.05 states/eV per cell.

Unit cell a=4.740 b=8.792 c=4.712 alpha=90.00 beta=102.15 gamma=90.00
Space group C2/m (No. 12)
Symmetry-distinct sites (fractional):
Hf (0.000, 0.000, 0.000) x2
Mn (0.000, 0.500, 0.500) x2
Pd (0.000, 0.163, 0.500) x4
Pd (0.000, 0.340, 0.000) x4

=====

Record 15
Hf6Mn2Pd: relaxed, GGA-PBE.

Computed properties:
The calculation puts the volume at 687.1 Å³ per cell. The crystal system is orthorhombic. For the formation energy, the calculation gives -19.01 kJ/mol of atoms. The value obtained for the electronic total energy is -9.447 eV/atom. As for the density of states at the Fermi level: 35.84 states/eV per cell.

Unit cell a=8.630 b=8.745 c=9.104 alpha=90.00 beta=90.00 gamma=90.00
Space group Immm (No. 71)
Symmetry-distinct sites (fractional):
Hf (0.000, 0.194, 0.175) x8
Hf (0.188, 0.225, 0.500) x8
Hf (0.200, 0.500, 0.255) x8
Mn (0.000, 0.000, 0.389) x4
Mn (0.161, 0.000, 0.000) x4
Pd (0.000, 0.500, 0.000) x2
Pd (0.000, 0.500, 0.500) x2

=====

Record 16
HfMnPd3: relaxed, GGA-PBE.

Computed properties:
The calculation puts the energy above the lowest structure with this stoichiometry at 0.0 meV/atom. The calculation puts the volume at 97.3 Å³ per cell. The crystal system is cubic. For the formation energy, the calculation gives 46.05 kJ/mol of atoms. The value obtained for the electronic total energy is -6.463 eV/atom. As for the density of states at the Fermi level: 5.11 states/eV per cell.

Unit cell a=4.600 b=4.600 c=4.600 alpha=90.00 beta=90.00 gamma=90.00
Space group Pm-3m (No. 221)
Symmetry-distinct sites (fractional):
Hf (0.000, 0.000, 0.000) x1
Mn (0.500, 0.500, 0.500) x1
Pd (0.000, 0.500, 0.500) x3

=====

Record 17
HfMn3Pd: relaxed, GGA-PBE.

Computed properties:
The calculation puts the energy above the lowest structure with this stoichiometry at 976.5 meV/atom. The calculation puts the volume at 86.4 Å³ per cell. The crystal system is cubic. For the formation energy, the calculation gives 184.78 kJ/mol of atoms. The value obtained for the electronic total energy is -6.616 eV/atom. As for the density of states at the Fermi level: 7.36 states/eV per cell.

Unit cell a=4.422 b=4.422 c=4.422 alpha=90.00 beta=90.00 gamma=90.00
Space group Pm-3m (No. 221)
Symmetry-distinct sites (fractional):
Hf (0.000, 0.000, 0.000) x1
Mn (0.000, 0.000, 0.500) x3
Pd (0.500, 0.500, 0.500) x1

=====

Record 18
HfMnPd2: relaxed, GGA-PBE.

Computed properties:
The calculation puts the volume at 280.5 Å³ per cell. The crystal system is tetragonal. For the formation energy, the calculation gives -4.81 kJ/mol of atoms. The value obtained for the electronic total energy is -7.427 eV/atom. As for the density of states at the Fermi level: 6.11 states/eV per cell.

Unit cell a=3.937 b=3.937 c=18.096 alpha=90.00 beta=90.00 gamma=90.00
Space group I-42d (No. 122)
Symmetry-distinct sites (fractional):
Hf (0.000, 0.000, 0.000) x4
Mn (0.000, 0.000, 0.500) x4
Pd (0.240, 0.250, 0.625) x8

=====

Record 19
Hf5Mn4Pd: relaxed, GGA-PBE.

Computed properties:
The calculation puts the volume at 163.1 Å³ per cell. The crystal system is tetragonal. For the formation energy, the calculation gives -26.51 kJ/mol of atoms. The value obtained for the electronic total energy is -9.439 eV/atom. As for the density of states at the Fermi level: 7.56 states/eV per cell.

Unit cell a=3.190 b=3.190 c=16.030 alpha=90.00 beta=90.00 gamma=90.00
Space group P4/mmm (No. 123)
Symmetry-distinct sites (fractional):
Hf (0.000, 0.000, 0.000) x1
Hf (0.000, 0.000, 0.197) x2
Hf (0.000, 0.000, 0.389) x2
Mn (0.500, 0.500, 0.098) x2
Mn (0.500, 0.500, 0.299) x2
Pd (0.500, 0.500, 0.500) x1

=====

Record 20
HfMnPd5: relaxed, GGA-PBE.

Computed properties:
The calculation puts the volume at 119.2 Å³ per cell. The crystal system is tetragonal. For the formation energy, the calculation gives -34.41 kJ/mol of atoms. The value obtained for the electronic total energy is -6.798 eV/atom. As for the density of states at the Fermi level: 3.18 states/eV per cell.

Unit cell a=3.924 b=3.924 c=7.744 alpha=90.00 beta=90.00 gamma=90.00
Space group P4/mmm (No. 123)
Symmetry-distinct sites (fractional):
Hf (0.000, 0.000, 0.000) x1
Mn (0.500, 0.500, 0.500) x1
Pd (0.000, 0.000, 0.500) x1
Pd (0.000, 0.500, 0.239) x4

=====

Record 21
HfMn3Pd: relaxed, GGA-PBE.

Computed properties:
The calculation puts the energy above the lowest structure with this stoichiometry at 0.0 meV/atom. The calculation puts the volume at 104.4 Å³ per cell. The crystal system is cubic. For the formation energy, the calculation gives 90.56 kJ/mol of atoms. The value obtained for the electronic total energy is -7.592 eV/atom. As for the density of states at the Fermi level: 5.77 states/eV per cell.

Unit cell a=4.709 b=4.709 c=4.709 alpha=90.00 beta=90.00 gamma=90.00
Space group Pm-3m (No. 221)
Symmetry-distinct sites (fractional):
Hf (0.000, 0.000, 0.000) x1
Mn (0.000, 0.500, 0.500) x3
Pd (0.500, 0.500, 0.500) x1

=====

Record 22
Hf4MnPd: relaxed, GGA-PBE.

Computed properties:
The calculation puts the energy above the lowest structure with this stoichiometry at 0.0 meV/atom. The calculation puts the volume at 111.8 Å³ per cell. The crystal system is tetragonal. For the formation energy, the calculation gives -24.35 kJ/mol of atoms. The value obtained for the electronic total energy is -9.282 eV/atom. As for the density of states at the Fermi level: 8.30 states/eV per cell.

Unit cell a=3.243 b=3.243 c=10.632 alpha=90.00 beta=90.00 gamma=90.00
Space group P4/mmm (No. 123)
Symmetry-distinct sites (fractional):
Hf (0.000, 0.000, 0.145) x2
Hf (0.500, 0.500, 0.336) x2
Mn (0.500, 0.500, 0.000) x1
Pd (0.000, 0.000, 0.500) x1

=====

Record 23
HfMn2Pd8: relaxed, GGA-PBE.

Computed properties:
The calculation puts the energy above the lowest structure with this stoichiometry at 52.0 meV/atom. The calculation puts the volume at 353.3 Å³ per cell. The crystal system is orthorhombic. For the formation energy, the calculation gives -36.42 kJ/mol of atoms. The value obtained for the electronic total energy is -6.726 eV/atom. As for the density of states at the Fermi level: 8.42 states/eV per cell.

Unit cell a=4.159 b=6.939 c=12.243 alpha=90.00 beta=90.00 gamma=90.00
Space group Immm (No. 71)
Symmetry-distinct sites (fractional):
Hf (0.000, 0.000, 0.000) x2
Mn (0.000, 0.000, 0.308) x4
Pd (0.000, 0.201, 0.500) x4
Pd (0.000, 0.280, 0.159) x8
Pd (0.000, 0.500, 0.349) x4